# 1
## ScPa2Sb3 (PBE-GGA)

Data for a relaxed ScPa2Sb3 crystal.

Structure (CIF):
```
data_ScPa2Sb3
_symmetry_space_group_name_H-M 'C 1 2/m 1'
_symmetry_Int_Tables_number 12
_symmetry_space_group_name_Hall '-C 2y'
_cell_length_a 7.4469
_cell_length_b 12.9098
_cell_length_c 7.4759
_cell_angle_alpha 90.00
_cell_angle_beta 109.52
_cell_angle_gamma 90.00
loop_
_atom_site_label
_atom_site_type_symbol
_atom_site_fract_x
_atom_site_fract_y
_atom_site_fract_z
Sc1 Sc 0.0000 0.1693 0.0000
Pa1 Pa 0.0000 0.0000 0.5000
Pa2 Pa 0.0000 0.3399 0.5000
Pa3 Pa 0.0000 0.5000 0.0000
Sb1 Sb 0.2314 0.0000 0.2312
Sb2 Sb 0.2474 0.1718 0.7587
```

The raw formation energy is -0.586 eV/atom.

=====

# 2
## Li3Tm2ThSe6 (PBE-GGA)

Data for a relaxed Li3Tm2ThSe6 crystal.

Structure (CIF):
```
data_Li3Tm2ThSe6
_symmetry_space_group_name_H-M 'C 1 2/m 1'
_symmetry_Int_Tables_number 12
_symmetry_space_group_name_Hall '-C 2y'
_cell_length_a 7.0062
_cell_length_b 12.1408
_cell_length_c 6.9351
_cell_angle_alpha 90.00
_cell_angle_beta 109.68
_cell_angle_gamma 90.00
loop_
_atom_site_label
_atom_site_type_symbol
_atom_site_fract_x
_atom_site_fract_y
_atom_site_fract_z
Li1 Li 0.0000 0.0000 0.0000
Li2 Li 0.0000 0.3325 0.0000
Tm1 Tm 0.0000 0.1664 0.5000
Th1 Th 0.0000 0.5000 0.5000
Se1 Se 0.2438 0.1709 0.2432
Se2 Se 0.2447 0.0000 0.7585
```

The raw formation energy is -1.608 eV/atom.

=====

# 3
## Tm2PuZrAs4 (PBE-GGA)

Data for a relaxed Tm2PuZrAs4 crystal.

Structure (CIF):
```
data_Tm2PuZrAs4
_symmetry_space_group_name_H-M 'P 1 2/m 1'
_symmetry_Int_Tables_number 10
_symmetry_space_group_name_Hall '-P 2y'
_cell_length_a 6.9632
_cell_length_b 4.0252
_cell_length_c 6.9682
_cell_angle_alpha 90.00
_cell_angle_beta 109.27
_cell_angle_gamma 90.00
loop_
_atom_site_label
_atom_site_type_symbol
_atom_site_fract_x
_atom_site_fract_y
_atom_site_fract_z
Tm1 Tm 0.0000 0.0000 0.0000
Tm2 Tm 0.0000 0.5000 0.5000
Pu1 Pu 0.5000 0.0000 0.5000
Zr1 Zr 0.5000 0.5000 0.0000
As1 As 0.2519 0.5000 0.2436
As2 As 0.2561 0.0000 0.7584
```

For the energy of formation from the pure elements, the calculation gives -1289 meV/atom.

=====

# 4
## SrBe2P (PBE-GGA)

Data for a relaxed SrBe2P crystal.

Structure (CIF):
```
data_SrBe2P
_symmetry_space_group_name_H-M 'R -3 m'
_symmetry_Int_Tables_number 166
_symmetry_space_group_name_Hall '-R 3 2"'
_cell_length_a 3.7962
_cell_length_b 3.7962
_cell_length_c 16.5179
_cell_angle_alpha 90.00
_cell_angle_beta 90.00
_cell_angle_gamma 120.00
loop_
_atom_site_label
_atom_site_type_symbol
_atom_site_fract_x
_atom_site_fract_y
_atom_site_fract_z
Sr1 Sr 0.0000 0.0000 0.0000
Be1 Be 0.0000 0.0000 0.1958
P1 P 0.0000 0.0000 0.5000
```

For the energy of formation from the pure elements, the calculation gives 34 meV/atom.

=====

# 5
## Li2DySbTe4 (PBE-GGA)

Data for a relaxed Li2DySbTe4 crystal.

Structure (CIF):
```
data_Li2DySbTe4
_symmetry_space_group_name_H-M 'P 1 2/m 1'
_symmetry_Int_Tables_number 10
_symmetry_space_group_name_Hall '-P 2y'
_cell_length_a 7.4596
_cell_length_b 4.3472
_cell_length_c 7.5654
_cell_angle_alpha 90.00
_cell_angle_beta 109.66
_cell_angle_gamma 90.00
loop_
_atom_site_label
_atom_site_type_symbol
_atom_site_fract_x
_atom_site_fract_y
_atom_site_fract_z
Li1 Li 0.0000 0.0000 0.0000
Li2 Li 0.0000 0.5000 0.5000
Dy1 Dy 0.5000 0.0000 0.5000
Sb1 Sb 0.5000 0.5000 0.0000
Te1 Te 0.2436 0.0000 0.7489
Te2 Te 0.2454 0.5000 0.2468
```

The raw formation energy is -0.859 eV/atom.

=====

# 6
## PuTcRu (PBE-GGA)

Data for a relaxed PuTcRu crystal.

Structure (CIF):
```
data_PuTcRu
_symmetry_space_group_name_H-M 'I m m a'
_symmetry_Int_Tables_number 74
_symmetry_space_group_name_Hall '-I 2b 2'
_cell_length_a 4.9260
_cell_length_b 5.5011
_cell_length_c 7.9493
_cell_angle_alpha 90.00
_cell_angle_beta 90.00
_cell_angle_gamma 90.00
loop_
_atom_site_label
_atom_site_type_symbol
_atom_site_fract_x
_atom_site_fract_y
_atom_site_fract_z
Pu1 Pu 0.0000 0.2500 0.1272
Tc1 Tc 0.2500 0.2500 0.7500
Ru1 Ru 0.0000 0.0000 0.5000
```

For the energy of formation from the pure elements, the calculation gives -56 meV/atom. As for the energy above the lowest structure with this stoichiometry: 0 meV/atom.